# Zr3SI PBE relaxed
# - raw formation energy (eV per atom) = -0.1650
# - energy above the most stable polymorph in this dataset (meV per atom) = 0
data_Zr3SI
_chemical_formula_sum 'Zr3 S1 I1'
_cell_length_a 4.914
_cell_length_b 4.914
_cell_length_c 4.914
_cell_angle_alpha 90.00
_cell_angle_beta 90.00
_cell_angle_gamma 90.00
_space_group_name_H-M_alt 'P 1'
_space_group_IT_number 1
_space_group_name_Hall 'P 1'
loop_
_atom_site_label
_atom_site_type_symbol
_atom_site_fract_x
_atom_site_fract_y
_atom_site_fract_z
Zr1 Zr 0.000 0.000 0.500
Zr2 Zr 0.000 0.500 0.000
Zr3 Zr 0.500 0.000 0.000
S1 S 0.000 0.000 0.000
I1 I 0.500 0.500 0.500